No. 1
Here is an optimized crystal structure of KMo2HOs from Alexandria. Energies are from PBE.

```
5
Lattice="-1.741 3.338 2.427 -3.074 -0.090 -2.081 -1.812 -2.985 2.805" Properties=species:S:1:pos:R:3 pbc="T T T"
H 0.000 0.000 0.000
Mo -0.871 1.669 1.213
Mo -0.906 -1.492 1.402
K -3.313 0.131 1.575
Os -1.537 -0.045 -1.041
```

Theoretical density   9.4 Mg/m³
Uncorrected energy   -6.02 eV/atom
Magnetization   1.70 μB per cell
Symmetry   P4/mmm, No. 123

***

No. 2
Here is an optimized crystal structure of KSi2MoH from Alexandria. Energies are from PBE.

```
5
Lattice="-2.544 -3.155 -1.237 3.328 -2.821 0.350 -1.050 -0.737 4.039" Properties=species:S:1:pos:R:3 pbc="T T T"
Mo -0.133 -3.357 1.576
Si -1.272 -1.577 -0.619
Si -0.525 -0.369 2.019
H 0.000 0.000 0.000
K 1.664 -1.411 0.175
```

Theoretical density   4.1 Mg/m³
Uncorrected energy   -4.23 eV/atom
Magnetization   2.75 μB per cell
Symmetry   P4/mmm, No. 123

***

No. 3
Here is an optimized crystal structure of K2SiMoH from Alexandria. Energies are from PBE.

```
5
Lattice="6.680 0.000 0.000 0.000 3.478 0.000 0.000 0.000 6.680" Properties=species:S:1:pos:R:3 pbc="T T T"
Si 0.000 0.000 0.000
H 0.000 1.739 0.000
Mo 3.340 1.739 3.340
K 3.340 0.000 0.000
K 0.000 0.000 3.340
```

Theoretical density   2.2 Mg/m³
Uncorrected energy   -3.06 eV/atom
Magnetization   4.36 μB per cell
Symmetry   P4/mmm, No. 123

***

No. 4
Here is an optimized crystal structure of KSnMoH2 from Alexandria. Energies are from PBE.

```
5
Lattice="4.317 0.000 0.000 0.000 6.890 0.000 0.000 0.000 4.317" Properties=species:S:1:pos:R:3 pbc="T T T"
H 0.000 0.000 2.159
H 2.159 0.000 0.000
K 0.000 3.445 0.000
Sn 0.000 0.000 0.000
Mo 2.159 3.445 2.159
```

Theoretical density   3.3 Mg/m³
Uncorrected energy   -3.02 eV/atom
Magnetization   4.89 μB per cell
Symmetry   P4/mmm, No. 123

***

No. 5
Here is an optimized crystal structure of KTiMo2H from Alexandria. Energies are from PBE.

```
5
Lattice="-3.657 1.409 -2.816 -0.048 -4.184 -2.031 -3.149 -1.568 3.305" Properties=species:S:1:pos:R:3 pbc="T T T"
K -3.427 -2.172 -0.771
Ti 0.000 0.000 0.000
Mo -1.829 0.705 -1.408
Mo -1.574 -0.784 1.652
H -0.024 -2.092 -1.016
```

Theoretical density   4.3 Mg/m³
Uncorrected energy   -5.15 eV/atom
Magnetization   4.91 μB per cell
Symmetry   P4/mmm, No. 123

***

No. 6
Here is an optimized crystal structure of KHN3 from Alexandria. Energies are from PBE.

```
5
Lattice="-2.407 -0.956 2.544 2.597 -1.811 1.776 0.801 2.997 1.885" Properties=species:S:1:pos:R:3 pbc="T T T"
N 0.401 1.499 0.942
N 1.298 -0.905 0.888
N -1.203 -0.478 1.272
H 0.000 0.000 0.000
K 0.496 0.115 3.102
```

Theoretical density   2.9 Mg/m³
Uncorrected energy   -3.27 eV/atom
Magnetization   0.00 μB per cell
Symmetry   Pm-3m, No. 221

***

No. 7
Here is an optimized crystal structure of KHN2 from Alexandria. Energies are from PBE.

```
4
Lattice="4.541 -0.063 0.336 2.040 -3.033 2.716 2.370 -3.443 -1.808" Properties=species:S:1:pos:R:3 pbc="T T T"
H 0.000 0.000 0.000
K 4.475 -3.270 0.622
N 2.238 -1.635 0.311
N 6.713 -4.904 0.933
```

Theoretical density   1.7 Mg/m³
Energy above the most stable polymorph in this dataset   0.916 eV per atom
Uncorrected energy   -2.91 eV/atom
Magnetization   4.00 μB per cell
Symmetry   Fm-3m, No. 225

***

No. 8
Here is an optimized crystal structure of KH6N4 from Alexandria. Energies are from PBE.

```
11
Lattice="6.246 -0.886 -1.303 -3.674 5.128 1.303 -3.674 -0.673 5.248" Properties=species:S:1:pos:R:3 pbc="T T T"
N -2.692 1.107 2.757
N -2.692 2.157 2.044
N -4.190 3.065 4.508
N 1.125 1.694 2.491
H 1.286 2.121 0.000
H -4.549 3.619 5.323
H 1.286 -0.780 1.973
H -2.035 2.095 1.229
H 0.170 1.937 2.849
H -2.035 0.373 2.400
K 0.000 0.000 0.000
```

Theoretical density   1.3 Mg/m³
Uncorrected energy   -4.45 eV/atom
Magnetization   1.00 μB per cell
Symmetry   I-42m, No. 121

***

No. 9
Here is an optimized crystal structure of KHN2 from Alexandria. Energies are from PBE.

```
4
Lattice="-2.879 -3.736 3.834 0.272 -1.926 5.758 -3.227 0.145 5.148" Properties=species:S:1:pos:R:3 pbc="T T T"
K -2.917 -2.759 7.370
H 0.000 0.000 0.000
N -0.427 -0.404 1.079
N -5.406 -5.114 13.662
```

Theoretical density   1.4 Mg/m³
Energy above the most stable polymorph in this dataset   0.000 eV per atom
Uncorrected energy   -3.83 eV/atom
Magnetization   4.00 μB per cell
Symmetry   R-3m, No. 166

***

No. 10
Here is an optimized crystal structure of K3H3N2 from Alexandria. Energies are from PBE.

```
16
Lattice="4.911 0.000 0.000 -2.455 4.077 0.000 0.000 0.000 13.406" Properties=species:S:1:pos:R:3 pbc="T T T"
H 0.000 1.356 3.352
H 2.455 2.722 10.055
H 2.455 1.778 11.693
H 2.455 1.778 8.417
H 0.000 2.299 1.713
H 0.000 2.299 4.990
N 2.455 2.783 8.685
N 0.000 1.294 4.722
N 0.000 1.294 1.982
N 2.455 2.783 11.425
K 0.000 3.773 10.055
K 2.455 2.805 1.033
K 0.000 1.272 12.373
K 2.455 2.805 5.670
K 0.000 1.272 7.736
K 2.455 0.305 3.352
```

Theoretical density   1.8 Mg/m³
Uncorrected energy   -3.85 eV/atom
Magnetization   0.01 μB per cell
Symmetry   Cmcm, No. 63

***

No. 11
Here is an optimized crystal structure of K2H4N from Alexandria. Energies are from PBE.

```
14
Lattice="-1.933 0.861 -3.538 0.832 -3.574 -1.301 -9.337 -6.918 10.248" Properties=species:S:1:pos:R:3 pbc="T T T"
N -3.176 -4.063 0.342
N -7.261 -5.568 5.067
H -5.808 -4.396 0.873
H -8.898 -8.454 6.061
H -4.630 -5.235 4.536
H -1.539 -1.177 -0.652
H -7.554 -6.550 5.219
H -2.525 -4.507 -0.331
H -2.884 -3.081 0.190
H -7.913 -5.124 5.740
K -3.206 -2.872 2.905
K -7.231 -6.759 2.504
K -2.007 -2.516 -3.069
K -8.430 -7.115 8.478
```

Theoretical density   1.4 Mg/m³
Energy above the most stable polymorph in this dataset   0.000 eV per atom
Uncorrected energy   -3.66 eV/atom
Magnetization   0.00 μB per cell
Symmetry   P-1, No. 2

***

No. 12
Here is an optimized crystal structure of KHN2 from Alexandria. Energies are from PBE.

```
4
Lattice="1.844 0.000 4.906 -0.922 1.597 4.906 -0.922 -1.597 4.906" Properties=species:S:1:pos:R:3 pbc="T T T"
N 0.000 0.000 11.986
N 0.000 0.000 2.733
K 0.000 0.000 0.000
H 0.000 0.000 7.359
```

Theoretical density   2.6 Mg/m³
Energy above the most stable polymorph in this dataset   0.148 eV per atom
Uncorrected energy   -3.68 eV/atom
Magnetization   0.00 μB per cell
Symmetry   R-3m, No. 166

***

No. 13
Here is an optimized crystal structure of KH4N2 from Alexandria. Energies are from PBE.

```
14
Lattice="-1.385 0.189 -3.315 -7.402 -0.012 3.092 0.151 8.011 0.393" Properties=species:S:1:pos:R:3 pbc="T T T"
N -5.685 5.602 0.742
N -2.951 2.585 -0.572
N -1.273 6.498 0.902
N -5.978 1.501 2.583
H -6.631 5.473 1.130
H -5.549 6.623 0.743
H -3.087 1.564 -0.573
H -2.214 6.623 1.302
H -6.076 2.521 2.682
H -5.037 1.375 2.183
H -1.175 5.477 0.803
H -2.005 2.714 -0.960
K -3.626 3.999 1.742
K -0.693 0.094 -1.658
```

Theoretical density   1.0 Mg/m³
Uncorrected energy   -4.51 eV/atom
Magnetization   2.00 μB per cell
Symmetry   P4_2/mnm, No. 136

***

No. 14
Here is an optimized crystal structure of KHN from Alexandria. Energies are from PBE.

```
6
Lattice="4.963 0.167 1.661 -2.370 4.321 -1.770 0.568 -3.156 6.888" Properties=species:S:1:pos:R:3 pbc="T T T"
N 0.813 2.525 -0.004
N 2.348 -1.193 6.783
H 3.301 1.146 2.416
H -0.140 0.185 4.363
K 2.439 1.704 4.918
K 0.723 -0.372 1.861
```

Theoretical density   1.4 Mg/m³
Energy above the most stable polymorph in this dataset   0.042 eV per atom
Uncorrected energy   -4.33 eV/atom
Magnetization   0.00 μB per cell
Symmetry   C2/m, No. 12

***

No. 15
Here is an optimized crystal structure of K2H3N from Alexandria. Energies are from PBE.

```
12
Lattice="5.233 0.373 0.000 0.170 5.244 0.000 -2.701 -2.808 7.536" Properties=species:S:1:pos:R:3 pbc="T T T"
K 4.146 4.311 0.000
K 2.617 0.187 3.768
K 0.085 2.622 3.768
K 1.257 1.306 0.000
N 2.701 2.808 2.215
N 0.000 0.000 5.321
H -0.598 0.575 5.938
H 0.000 0.000 1.783
H 3.300 2.233 1.598
H 2.701 2.809 5.753
H 0.598 -0.575 5.938
H 2.103 3.384 1.598
```

Theoretical density   1.5 Mg/m³
Uncorrected energy   -3.65 eV/atom
Magnetization   0.00 μB per cell
Symmetry   Fmmm, No. 69

***

No. 16
Here is an optimized crystal structure of KH8N3 from Alexandria. Energies are from PBE.

```
24
Lattice="-1.108 -3.472 4.887 5.074 -1.989 -2.731 3.667 4.156 3.785" Properties=species:S:1:pos:R:3 pbc="T T T"
H 3.309 -1.714 4.356
H 4.971 -0.293 6.788
H 5.990 2.297 3.304
H 6.688 -0.851 3.125
H 4.113 0.634 0.651
H 5.585 0.377 4.660
H 2.967 -3.241 3.915
H 0.573 -2.130 2.054
H 3.008 -0.594 2.272
H 5.393 -1.065 2.166
H 1.805 0.421 4.358
H 0.786 -0.633 2.653
H 3.829 0.383 3.236
H 4.375 -3.372 0.083
H 2.842 -2.777 1.712
H 4.822 2.114 2.187
N 5.424 2.822 2.628
N 0.101 -1.225 2.167
N 3.475 -2.691 4.620
N 6.264 -1.516 2.466
N 3.054 0.396 2.556
N 2.745 -3.780 1.492
K 7.453 1.039 0.565
K 0.179 -2.344 5.376
```

Theoretical density   1.3 Mg/m³
Uncorrected energy   -4.78 eV/atom
Magnetization   0.09 μB per cell
Symmetry   C222_1, No. 20

***

No. 17
Here is an optimized crystal structure of K2H4N from Alexandria. Energies are from PBE.

```
7
Lattice="-3.847 4.917 1.414 -4.047 -3.581 1.862 6.612 1.366 1.780" Properties=species:S:1:pos:R:3 pbc="T T T"
H -3.260 0.895 1.860
H -1.606 1.637 4.425
H -2.944 1.421 2.314
H 1.869 -1.851 3.637
N -2.427 2.237 4.621
K -0.316 3.795 2.834
K -0.492 -0.905 2.395
```

Theoretical density   1.0 Mg/m³
Energy above the most stable polymorph in this dataset   0.080 eV per atom
Uncorrected energy   -3.58 eV/atom
Magnetization   0.00 μB per cell
Symmetry   P1, No. 1

***

No. 18
Here is an optimized crystal structure of K2H7N2 from Alexandria. Energies are from PBE.

```
11
Lattice="-1.515 -3.454 -2.486 4.235 -4.889 5.120 -7.531 2.022 2.692" Properties=species:S:1:pos:R:3 pbc="T T T"
H -1.250 -4.031 -0.648
H -2.668 -3.198 -0.941
H -3.562 -2.289 5.975
H 0.000 0.000 0.000
H -2.143 -3.123 6.268
H -3.825 -5.004 4.293
H -0.986 -1.316 1.033
N -0.482 -0.420 1.140
N -4.329 -5.900 4.186
K -0.117 -4.504 3.135
K -4.694 -1.816 2.191
```

Theoretical density   0.7 Mg/m³
Uncorrected energy   -3.98 eV/atom
Magnetization   0.00 μB per cell
Symmetry   C2/m, No. 12

***

No. 19
Here is an optimized crystal structure of KH6N3 from Alexandria. Energies are from PBE.

```
10
Lattice="-5.416 0.754 2.069 1.057 -5.177 -2.503 4.305 2.126 3.336" Properties=species:S:1:pos:R:3 pbc="T T T"
H 0.547 -3.297 -0.625
H -0.597 0.793 3.722
H -2.293 -3.022 0.673
H -2.882 -0.155 1.797
H 2.784 -2.305 1.335
H 2.268 0.572 2.468
N 0.409 -2.274 -0.674
N -2.130 0.052 1.119
N 1.682 0.590 1.616
K -0.039 -1.660 2.098
```

Theoretical density   1.4 Mg/m³
Uncorrected energy   -4.57 eV/atom
Magnetization   2.00 μB per cell
Symmetry   R3m, No. 160

***

No. 20
Here is an optimized crystal structure of KHN from Alexandria. Energies are from PBE.

```
12
Lattice="-0.527 1.920 3.374 -1.708 -6.721 3.558 10.264 0.902 1.088" Properties=species:S:1:pos:R:3 pbc="T T T"
K 5.489 -0.817 4.725
K 4.633 -4.170 6.517
K 3.396 0.271 1.504
K 2.540 -3.082 3.296
N -0.384 -3.264 2.062
N 7.761 -4.732 6.443
N 0.268 0.833 1.578
N 8.413 -0.634 5.959
H 2.739 -0.450 4.096
H 5.290 -3.448 3.925
H 6.144 -0.087 2.146
H 1.885 -3.811 5.875
```

Theoretical density   1.2 Mg/m³
Energy above the most stable polymorph in this dataset   0.000 eV per atom
Uncorrected energy   -4.37 eV/atom
Magnetization   0.00 μB per cell
Symmetry   P2_1/c, No. 14

***

No. 21
Here is an optimized crystal structure of KHN2 from Alexandria. Energies are from PBE.

```
8
Lattice="-0.294 1.337 -4.729 0.405 -4.715 -1.358 -3.406 -2.021 -2.922" Properties=species:S:1:pos:R:3 pbc="T T T"
H -1.472 -4.213 -3.662
H 0.056 -1.689 -3.043
K 0.000 0.000 0.000
K -1.822 -1.187 -5.347
N -2.411 -3.961 -4.814
N -0.708 -2.951 -3.352
N -0.911 -0.593 -2.674
N -2.558 -3.294 -7.178
```

Theoretical density   2.7 Mg/m³
Energy above the most stable polymorph in this dataset   0.109 eV per atom
Uncorrected energy   -3.72 eV/atom
Magnetization   0.00 μB per cell
Symmetry   Fd-3m, No. 227

***

No. 22
Here is an optimized crystal structure of KH6N2 from Alexandria. Energies are from PBE.

```
18
Lattice="6.731 -0.180 -1.850 -3.649 5.659 -1.850 0.364 0.648 8.454" Properties=species:S:1:pos:R:3 pbc="T T T"
H -1.849 5.319 6.054
H 1.985 5.000 3.412
H -1.330 5.181 4.514
H 4.854 2.350 -2.231
H -1.075 2.689 1.035
H -2.848 5.609 0.287
H 0.839 4.025 2.782
H -2.461 5.237 1.827
H 5.417 1.023 -1.445
H -0.308 5.731 5.666
H 2.265 4.232 1.996
H 0.739 1.109 3.289
N -1.067 2.170 0.145
N -1.283 5.798 5.338
N 1.537 4.738 2.522
N 1.303 0.310 2.961
K 4.019 1.072 2.736
K 1.242 2.208 -1.491
```

Theoretical density   0.7 Mg/m³
Uncorrected energy   -4.52 eV/atom
Magnetization   0.00 μB per cell
Symmetry   Fdd2, No. 43

***

No. 23
Here is an optimized crystal structure of K2H6N from Alexandria. Energies are from PBE.

```
9
Lattice="4.818 0.000 2.782 1.606 4.543 2.782 0.000 0.000 5.564" Properties=species:S:1:pos:R:3 pbc="T T T"
K 4.818 3.407 8.345
K 1.606 1.136 2.782
H 2.168 3.748 3.755
H 4.256 0.795 7.372
H 5.300 3.748 5.564
H 1.124 0.795 5.564
H 4.256 0.795 3.755
H 2.168 3.748 7.372
N 0.000 0.000 0.000
```

Theoretical density   1.3 Mg/m³
Uncorrected energy   -2.75 eV/atom
Magnetization   0.90 μB per cell
Symmetry   Fm-3m, No. 225